No. 1
Density functional theory data (PBE) for crystalline BePIrI2 at its relaxed geometry.

abc: 5.0692 5.0692 4.2722
angles: 90.00 90.00 90.00
Closest atoms and distances in Å follow each position.
Sites, in units of the cell vectors:
Be 0.0000 0.0000 0.0000  2 Ir 2.14
P 0.5000 0.5000 0.5000  8 I 3.31, 4 Ir 3.58
Ir 0.0000 0.0000 0.5000  2 Be 2.14
I 0.0000 0.5000 0.0000  2 Be 2.53
I 0.5000 0.0000 0.0000  2 Be 2.53

Properties
raw formation energy = 118.2 kJ per mole of atoms
VASP energy = -2.99 eV per atom
space group = P4/mmm (123)
magnetization = 0.000 μB per atom

---

No. 2
Density functional theory data (PBE) for crystalline BeIrPd2I at its relaxed geometry.

abc: 4.9697 4.9697 5.0807
angles: 90.00 90.00 90.00
Closest atoms and distances in Å follow each position.
Sites, in units of the cell vectors:
Be 0.0000 0.0000 0.0000  4 I 3.51, 8 Pd 3.55
Ir 0.5000 0.5000 0.5000  4 Pd 2.48, 2 I 2.54
Pd 0.0000 0.5000 0.5000  2 Ir 2.48
Pd 0.5000 0.0000 0.5000  2 Ir 2.48
I 0.5000 0.5000 0.0000  2 Ir 2.54

Properties
raw formation energy = 134.0 kJ per mole of atoms
VASP energy = -3.52 eV per atom
space group = P4/mmm (123)
magnetization = 0.086 μB per atom

---

No. 3
Density functional theory data (PBE) for crystalline Rb2BeIrI6 at its relaxed geometry.

abc: 8.1743 8.1743 8.1743
angles: 115.71 115.71 97.61
Closest atoms and distances in Å follow each position.
Sites, in units of the cell vectors:
Rb 0.2500 0.7500 0.5000  12 I 4.11-4.37
Rb 0.7500 0.2500 0.5000  12 I 4.11-4.37
Be 0.0000 0.0000 0.0000  2 I 2.23
Ir 0.5000 0.5000 0.0000  4 I 2.68
I 0.2072 0.2072 0.0000  1 Be 2.23
I 0.2824 0.2824 0.5647  1 Ir 2.68
I 0.2824 0.7176 0.0000  1 Ir 2.68
I 0.7176 0.2824 0.0000  1 Ir 2.68
I 0.7176 0.7176 0.4353  1 Ir 2.68
I 0.7928 0.7928 0.0000  1 Be 2.23

Properties
raw formation energy = -49.2 kJ per mole of atoms
VASP energy = -2.89 eV per atom
space group = I4/mmm (139)
magnetization = 0.100 μB per atom

---

No. 4
Density functional theory data (PBE) for crystalline Rb2BeIrI at its relaxed geometry.

abc: 6.5456 6.5456 4.3093
angles: 90.00 90.00 90.00
Closest atoms and distances in Å follow each position.
Sites, in units of the cell vectors:
Rb 0.0000 0.5000 0.0000  2 Ir 3.27
Rb 0.5000 0.0000 0.0000  2 Ir 3.27
Be 0.0000 0.0000 0.5000  2 Ir 2.15
Ir 0.0000 0.0000 0.0000  2 Be 2.15
I 0.5000 0.5000 0.5000  8 Rb 3.92, 2 I 4.31

Properties
raw formation energy = 11.0 kJ per mole of atoms
VASP energy = -3.10 eV per atom
space group = P4/mmm (123)
magnetization = 0.138 μB per atom

---

No. 5
Density functional theory data (PBE) for crystalline BeSbIrI2 at its relaxed geometry.

abc: 4.9727 4.9727 4.8751
angles: 90.00 90.00 90.00
Closest atoms and distances in Å follow each position.
Sites, in units of the cell vectors:
Be 0.0000 0.0000 0.0000  2 Sb 2.44, 4 I 2.49
Sb 0.0000 0.0000 0.5000  2 Be 2.44
Ir 0.5000 0.5000 0.5000  8 I 3.48, 4 Sb 3.52
I 0.0000 0.5000 0.0000  2 Be 2.49
I 0.5000 0.0000 0.0000  2 Be 2.49

Properties
raw formation energy = 113.2 kJ per mole of atoms
distance to the lowest polymorph of the same formula = 274 meV per atom
VASP energy = -2.79 eV per atom
space group = P4/mmm (123)
magnetization = 0.178 μB per atom

---

No. 6
Density functional theory data (PBE) for crystalline BeSbIrI2 at its relaxed geometry.

abc: 5.6447 5.6447 4.9735
angles: 90.00 90.00 90.00
Closest atoms and distances in Å follow each position.
Sites, in units of the cell vectors:
Be 0.0000 0.0000 0.0000  8 I 3.76, 4 Sb 3.99
Sb 0.5000 0.5000 0.0000  2 Ir 2.49
Ir 0.5000 0.5000 0.5000  2 Sb 2.49
I 0.0000 0.5000 0.5000  2 Ir 2.82
I 0.5000 0.0000 0.5000  2 Ir 2.82

Properties
raw formation energy = 86.7 kJ per mole of atoms
distance to the lowest polymorph of the same formula = 0 meV per atom
VASP energy = -3.06 eV per atom
space group = P4/mmm (123)
magnetization = 0.000 μB per atom